No. 1
# NbIn3Se

NbIn3Se after structural relaxation (GGA-PBE, Alexandria).

Results
SG: Pm-3m, No. 221
ΔE_f (raw), eV/atom: 0.726
Relative energy among the computed polymorphs, meV per atom: 0
Crystal system: cubic
Total magnetic moment, μB per formula unit: 3.16

Lattice parameters (Å, degrees): 5.492 5.492 5.492 90.00 90.00 90.00
Each line ends with the local moment (μB).
Sites, in units of the cell vectors:
In (0.000, 0.000, 0.500)  0.06
In (0.000, 0.500, 0.000)  0.10
In (0.500, 0.000, 0.000)  0.06
Se (0.500, 0.500, 0.500)  0.40
Nb (0.000, 0.000, 0.000)  1.67

No. 2
# Rb2LaRuCl

Rb2LaRuCl after structural relaxation (GGA-PBE, Alexandria).

Results
SG: P4/mmm, No. 123
ΔE_f (raw), eV/atom: 0.095
Crystal system: tetragonal
Total magnetic moment, μB per formula unit: 0.00

Lattice parameters (Å, degrees): 7.301 4.683 7.301 90.00 90.00 90.00
Sites, in units of the cell vectors:
Cl (0.500, 0.500, 0.500)
La (0.000, 0.000, 0.000)
Rb (0.000, 0.000, 0.500)
Rb (0.500, 0.000, 0.000)
Ru (0.000, 0.500, 0.000)

No. 3
# SmAs2Au2

SmAs2Au2 after structural relaxation (GGA-PBE, Alexandria).

Results
SG: Cmcm, No. 63
ΔH_f (0 K), eV/atom: -0.5961
Crystal system: orthorhombic
Total magnetic moment, μB per formula unit: 0.00

Lattice parameters (Å, degrees): 4.124 4.110 12.387 90.00 99.58 90.00
Sites, in units of the cell vectors:
Au (0.453, 0.750, 0.907)
Au (0.547, 0.250, 0.093)
Au (0.043, 0.750, 0.086)
Au (0.957, 0.250, 0.914)
As (0.250, 0.750, 0.500)
As (0.750, 0.250, 0.500)
As (0.121, 0.250, 0.243)
As (0.879, 0.750, 0.757)
Sm (0.345, 0.250, 0.689)
Sm (0.655, 0.750, 0.311)

No. 4
# ErAg2Pd4

ErAg2Pd4 after structural relaxation (GGA-PBE, Alexandria).

Results
SG: I4/mmm, No. 139
ΔH_f (0 K), eV/atom: -0.2463
Crystal system: tetragonal
Total magnetic moment, μB per formula unit: 0.00

Lattice parameters (Å, degrees): 5.577 5.577 5.577 115.45 106.57 106.57
Sites, in units of the cell vectors:
Er (0.000, 0.000, 0.000)
Pd (0.500, 0.500, 0.500)
Pd (0.000, 0.500, 0.000)
Pd (0.500, 0.000, 0.000)
Pd (0.000, 0.000, 0.500)
Ag (0.500, 0.500, 0.000)
Ag (0.500, 0.000, 0.500)

No. 5
# MnNbInOs2

MnNbInOs2 after structural relaxation (GGA-PBE, Alexandria).

Results
SG: P4/mmm, No. 123
ΔH_f (0 K), eV/atom: 2.3184
Crystal system: tetragonal
Total magnetic moment, μB per formula unit: 0.16

Lattice parameters (Å, degrees): 4.733 5.170 4.733 90.00 90.00 90.00
Each line ends with the local moment (μB).
Sites, in units of the cell vectors:
Os (0.000, 0.000, 0.500)  0.20
Os (0.500, 0.000, 0.000)  0.14
In (0.000, 0.500, 0.000)  0.01
Mn (0.500, 0.500, 0.500)  -0.14
Nb (0.000, 0.000, 0.000)  -0.01